The following is a DFT calculation (PBE) of a relaxed structure of GaHgRuPb2.

formation energy from the elements: 1257 meV/atom
raw total energy: -13.73 eV per formula unit

abc: 5.7146 4.9157 5.7146
angles: 90.00 90.00 90.00
Last column: magnetic moment on the atom in μB.
Positions (direct):
1 Hg 0.0000 0.0000 0.0000  0.01
2 Ga 0.0000 0.5000 0.0000  -0.01
3 Pb 0.0000 0.0000 0.5000  -0.03
4 Pb 0.5000 0.0000 0.0000  -0.03
5 Ru 0.5000 0.5000 0.5000  2.24

***

The following is a DFT calculation (PBE) of a relaxed structure of Al2TlBAs.

formation energy from the elements: 1853 meV/atom
raw total energy: -11.91 eV per formula unit

abc: 5.2759 5.4008 5.2759
angles: 90.00 90.00 90.00
Positions (direct):
1 Tl 0.0000 0.0000 0.0000
2 As 0.0000 0.5000 0.0000
3 Al 0.5000 0.0000 0.0000
4 Al 0.0000 0.0000 0.5000
5 B 0.5000 0.5000 0.5000

***

The following is a DFT calculation (PBE) of a relaxed structure of TePd3Cl.

energy relative to the lowest polymorph listed for this composition: 0.0000 eV per atom
raw total energy: -18.85 eV per formula unit

abc: 4.6676 4.6676 4.6676
angles: 90.00 90.00 90.00
Positions (direct):
1 Te 0.5000 0.5000 0.5000
2 Pd 0.0000 0.0000 0.5000
3 Pd 0.5000 0.0000 0.0000
4 Pd 0.0000 0.5000 0.0000
5 Cl 0.0000 0.0000 0.0000

***

The following is a DFT calculation (PBE) of a relaxed structure of Ta12MnW6.

formation energy from the elements: 120 meV/atom
raw total energy: -226.85 eV per formula unit

abc: 6.9792 6.9792 6.9792
angles: 88.26 88.26 88.26
Positions (direct):
1 Ta 0.1848 0.4823 0.5838
2 Ta 0.9438 0.8571 0.6215
3 Ta 0.4823 0.5838 0.1848
4 Ta 0.3785 0.0562 0.1429
5 Ta 0.0562 0.1429 0.3785
6 Ta 0.5177 0.4162 0.8152
7 Ta 0.8571 0.6215 0.9438
8 Ta 0.5838 0.1848 0.4823
9 Ta 0.8152 0.5177 0.4162
10 Ta 0.6215 0.9438 0.8571
11 Ta 0.1429 0.3785 0.0562
12 Ta 0.4162 0.8152 0.5177
13 W 0.2542 0.7444 0.8852
14 W 0.2556 0.1148 0.7458
15 W 0.7444 0.8852 0.2542
16 W 0.7458 0.2556 0.1148
17 W 0.1148 0.7458 0.2556
18 W 0.8852 0.2542 0.7444
19 Mn 0.0000 0.0000 0.0000

***

Question: Which value of raw total energy does entry 2 give?
Answer: -11.91 eV per formula unit